(1)
A plane-wave DFT calculation with GGA-PBE was carried out for an optimized crystal structure of Tb2CeRh.

Cell and atoms, written as extended XYZ:
```
4
Lattice="-0.416 2.554 -2.312 -3.289 0.398 1.031 2.563 5.794 5.940" Properties=species:S:1:pos:R:3 pbc="T T T"
Ce -0.571 4.373 2.330
Tb 2.073 4.685 4.803
Tb 0.490 1.109 1.136
Rh -1.853 1.476 -0.640
```

Summary:
- Density: 8.9 g/cm³
- E_tot: -5.9905 eV per atom
- Spin magnetization: 0.36 μB/atom
- Space group: P4/mmm



(2)
A plane-wave DFT calculation with GGA-PBE was carried out for an optimized crystal structure of Tb2CeRh.

Cell and atoms, written as extended XYZ:
```
16
Lattice="6.410 0.000 0.000 0.000 7.084 0.000 0.000 0.000 9.623" Properties=species:S:1:pos:R:3 pbc="T T T"
Tb 4.276 5.823 5.432
Tb 5.340 2.281 9.002
Tb 5.340 2.281 5.432
Tb 1.070 4.803 4.190
Tb 2.135 1.261 4.190
Tb 1.070 4.803 0.621
Tb 4.276 5.823 9.002
Tb 2.135 1.261 0.621
Rh 0.266 2.633 2.406
Rh 2.939 6.175 2.406
Rh 6.144 4.451 7.217
Rh 3.471 0.909 7.217
Ce 2.249 3.264 7.217
Ce 5.454 0.278 2.406
Ce 4.162 3.820 2.406
Ce 0.956 6.806 7.217
```

Summary:
- Density: 8.5 g/cm³
- E_tot: -6.0918 eV per atom
- Spin magnetization: 0.22 μB/atom
- Space group: Pnma



Q: Which formation energy values were calculated for the entries above? A: -137, -176, in kJ/mol of formula units.